Record 1
Below is HfTi3Sb2 after structural relaxation, with properties calculated at the PBE-GGA level.

Cell: 3.755 7.162 8.782 Å, 90.00 90.00 90.00°
Fractional positions:
Hf: 0.500 0.564 0.575
Hf: 0.500 0.064 0.425
Ti: 0.000 0.438 0.928
Ti: 0.000 0.938 0.072
Ti: 0.500 0.623 0.183
Ti: 0.500 0.123 0.817
Ti: 0.000 0.374 0.315
Ti: 0.000 0.874 0.685
Sb: 0.500 0.737 0.886
Sb: 0.500 0.237 0.114
Sb: 0.000 0.263 0.624
Sb: 0.000 0.763 0.376

Values from the calculation:
spin magnetization: 0.000 μB per atom
energy relative to the lowest polymorph listed for this composition: 0 meV/atom

Record 2
Below is UZn20Ir2 after structural relaxation, with properties calculated at the PBE-GGA level.

Cell: 10.084 10.084 10.084 Å, 60.00 60.00 60.00°
Last column: magnetic moment on the atom in μB.
Fractional positions:
U: 0.500 0.500 0.500  2.24
U: 0.750 0.750 0.750  2.24
Zn: 0.125 0.625 0.625  0.02
Zn: 0.625 0.125 0.625  0.02
Zn: 0.625 0.625 0.125  0.02
Zn: 0.625 0.625 0.625  0.02
Zn: 0.861 0.861 0.139  -0.01
Zn: 0.139 0.139 0.861  -0.01
Zn: 0.861 0.139 0.861  -0.01
Zn: 0.139 0.861 0.139  -0.01
Zn: 0.139 0.861 0.861  -0.01
Zn: 0.861 0.139 0.139  -0.01
Zn: 0.389 0.389 0.111  -0.01
Zn: 0.111 0.111 0.389  -0.01
Zn: 0.389 0.111 0.389  -0.01
Zn: 0.111 0.389 0.111  -0.01
Zn: 0.111 0.389 0.389  -0.01
Zn: 0.389 0.111 0.111  -0.01
Zn: 0.568 0.303 0.303  0.00
Zn: 0.303 0.568 0.825  0.00
Zn: 0.303 0.825 0.568  0.00
Zn: 0.825 0.303 0.303  0.00
Zn: 0.303 0.303 0.568  0.00
Zn: 0.568 0.825 0.303  0.00
Zn: 0.825 0.568 0.303  0.00
Zn: 0.303 0.303 0.825  0.00
Zn: 0.303 0.568 0.303  0.00
Zn: 0.825 0.303 0.568  0.00
Zn: 0.568 0.303 0.825  0.00
Zn: 0.303 0.825 0.303  0.00
Zn: 0.682 0.947 0.947  0.00
Zn: 0.947 0.682 0.425  0.00
Zn: 0.947 0.425 0.682  0.00
Zn: 0.425 0.947 0.947  0.00
Zn: 0.947 0.947 0.682  0.00
Zn: 0.682 0.425 0.947  0.00
Zn: 0.425 0.682 0.947  0.00
Zn: 0.947 0.947 0.425  0.00
Zn: 0.947 0.682 0.947  0.00
Zn: 0.425 0.947 0.682  0.00
Zn: 0.682 0.947 0.425  0.00
Zn: 0.947 0.425 0.947  0.00
Ir: 0.625 0.125 0.125  -0.06
Ir: 0.125 0.625 0.125  -0.06
Ir: 0.125 0.125 0.625  -0.06
Ir: 0.125 0.125 0.125  -0.06

Values from the calculation:
spin magnetization: 0.096 μB per atom
ΔE_f: -0.154 eV/atom

What is the spin magnetization in the second record? 0.096 μB per atom